(1)
ErAg3: optimized geometry, GGA-PBE.

Cell and atoms, written as POSCAR:
```
ErAg3
1.0
-3.834 0.515 -1.599
-0.609 -4.427 0.035
-1.689 0.266 4.135
Er Ag
1 3
Direct
0.000 0.500 0.417
0.500 0.500 0.917
0.500 0.000 0.417
0.000 0.000 0.917
```

- total moment (μB/atom) = 0.000
- energy of formation (meV per atom) = -95

=====

(2)
BaMnPd3: optimized geometry, GGA-PBE.

Cell and atoms, written as POSCAR:
```
BaMnPd3
1.0
-4.732 -0.976 -2.288
-1.493 -2.817 4.291
-1.989 4.438 2.221
Pd Ba Mn
3 1 1
Direct
0.000 0.000 0.500
0.500 0.000 0.000
0.000 0.500 0.000
0.000 0.000 0.000
0.500 0.500 0.500
```

- total moment (μB/atom) = 0.986
- energy of formation (meV per atom) = 1252

=====

(3)
CeHoTeS2: optimized geometry, GGA-PBE.

Cell and atoms, written as POSCAR:
```
CeHoTeS2
1.0
-0.733 -3.547 2.652
1.234 -2.745 -3.331
6.238 3.428 2.510
Ho S Ce Te
1 2 1 1
Direct
0.855 0.855 0.710
0.753 0.253 0.507
0.253 0.753 0.507
0.137 0.137 0.273
0.501 0.501 0.003
```

- uncorrected formation energy (eV/atom) = -1.58
- total moment (μB/atom) = 0.200

=====

(4)
SnOsSeN2: optimized geometry, GGA-PBE.

Cell and atoms, written as POSCAR:
```
SnOsSeN2
1.0
-1.435 -1.296 -3.505
3.638 -1.344 -0.992
-1.236 -5.114 2.397
Os Se N Sn
1 1 2 1
Direct
0.500 0.500 0.500
0.000 0.000 0.500
0.000 0.500 0.000
0.500 0.000 0.000
0.000 0.000 0.000
```

- uncorrected formation energy (eV/atom) = 2.03
- total moment (μB/atom) = 1.061

=====

(5)
KNbCu2F8: optimized geometry, GGA-PBE.

Cell and atoms, written as POSCAR:
```
KNbCu2F8
1.0
5.010 0.000 0.000
2.505 4.339 0.000
2.505 1.446 8.561
Cu F Nb K
2 8 1 1
Direct
0.269 0.269 0.192
0.731 0.731 0.808
0.341 0.341 0.977
0.263 0.870 0.355
0.488 0.130 0.645
0.512 0.263 0.355
0.130 0.737 0.645
0.870 0.512 0.355
0.659 0.659 0.023
0.737 0.488 0.645
0.500 0.500 0.500
0.000 0.000 0.000
```

- uncorrected formation energy (eV/atom) = -2.22
- total moment (μB/atom) = 0.016

=====

(6)
Mg3SnRh3: optimized geometry, GGA-PBE.

Cell and atoms, written as POSCAR:
```
Mg3SnRh3
1.0
-5.318 1.003 0.193
1.021 -3.587 -3.931
1.629 -2.018 4.754
Rh Mg Sn
3 3 1
Direct
0.000 0.504 0.500
0.500 0.004 0.500
0.500 0.504 0.000
0.500 0.503 0.500
0.500 0.003 0.000
0.000 0.003 0.500
0.000 0.504 0.000
```

- total moment (μB/atom) = 0.000
- energy of formation (meV per atom) = -564

=====

Q: Look up the total moment of the fifth one.
A: 0.016 μB/atom